[1]
Nb13Ru3 | Alexandria | PBE-GGA | relaxed; formation enthalpy at 0 K = -0.16 eV/atom; magnetization = 0.000 μB per formula unit
1.0
-3.7421 4.2919 3.1693
3.1510 -1.3300 5.5471
4.3106 4.7292 -1.3147
Nb Ru
13 3
direct
0.5039 0.0031 0.2472
0.5015 0.4985 0.2476
0.9969 0.4961 0.2472
0.7573 0.7614 0.0000
0.2386 0.2427 0.0000
0.2472 0.7528 0.0000
0.5039 0.0031 0.7528
0.5015 0.4985 0.7524
0.9969 0.4961 0.7528
0.7569 0.2431 0.5000
0.7542 0.7511 0.5000
0.2489 0.2458 0.5000
0.2479 0.7521 0.5000
0.0029 0.9971 0.2537
0.7388 0.2612 0.0000
0.0029 0.9971 0.7463

---

[2]
YMnTe2 | Alexandria | PBE-GGA | relaxed; magnetization = 3.971 μB per formula unit
1.0
0.4675 -4.8456 -1.8865
-4.0954 -2.3339 -2.2443
-0.0405 -0.8085 -5.1577
Y Te Mn
1 2 1
direct
0.5000 0.5000 0.5000
0.2500 0.2500 0.2500
0.7500 0.7500 0.7500
0.0000 0.0000 0.0000

---

[3]
Pu2MgSi3Pd4 | Alexandria | PBE-GGA | relaxed; magnetization = 10.866 μB per formula unit
1.0
-2.3126 2.8396 -1.9643
-3.3568 -1.2953 2.0796
2.0516 6.9608 7.6471
Pu Mg Si Pd
2 1 3 4
direct
0.5000 0.0000 0.2437
0.0000 0.5000 0.7563
0.5000 0.5000 0.5000
0.0000 0.0000 0.5000
0.5000 0.0000 0.8699
0.0000 0.5000 0.1301
0.5000 0.5000 0.0000
0.0000 0.0000 0.0000
0.5000 0.0000 0.6419
0.0000 0.5000 0.3581

---

[4]
CsIn2CuTe4 | Alexandria | PBE-GGA | relaxed; magnetization = 0.000 μB per formula unit
1.0
7.1543 0.0000 0.0000
3.5772 7.0345 1.6245
3.5772 2.1956 6.8777
Cs In Cu Te
1 2 1 4
direct
0.0000 0.0000 0.0000
0.2499 0.2501 0.2501
0.7501 0.7499 0.7499
0.5000 0.5000 0.5000
0.4479 0.1693 0.5519
0.1691 0.8307 0.4481
0.8309 0.5519 0.1693
0.5521 0.4481 0.8307

---

[5]
Tb3Pm2Ho6Mg | Alexandria | PBE-GGA | relaxed; formation enthalpy at 0 K = 0.02 eV/atom; magnetization = 0.000 μB per formula unit
1.0
-5.7705 -1.2679 1.5719
3.9113 -4.5407 -1.2087
3.7166 1.6543 10.9938
Tb Pm Ho Mg
3 2 6 1
direct
0.1657 0.8343 0.5000
0.8343 0.1657 0.5000
0.5000 0.5000 0.5000
0.3338 0.6662 0.0000
0.6662 0.3338 0.0000
0.9170 0.5853 0.7497
0.7511 0.7511 0.2513
0.0830 0.4147 0.2503
0.5853 0.9170 0.7497
0.2489 0.2489 0.7487
0.4147 0.0830 0.2503
0.0000 0.0000 0.0000

---

[6]
NdScI | Alexandria | PBE-GGA | relaxed; magnetization = 0.000 μB per formula unit
1.0
-1.3246 2.5753 2.4233
-1.8101 -3.7976 3.0463
4.8148 1.8182 0.6996
I Sc Nd
1 1 1
direct
0.1681 0.3333 0.6667
0.1661 0.0000 0.0000
0.6657 0.6667 0.3333

---

[7]
CaTl2I2Cl2 | Alexandria | PBE-GGA | relaxed; magnetization = 0.000 μB per formula unit
1.0
-0.8299 6.2293 0.1423
-4.9327 -0.5691 -3.8546
-1.7232 -3.5807 7.8593
Ca Tl I Cl
1 2 2 2
direct
0.0000 0.0000 0.0000
0.3647 0.3647 0.7294
0.6353 0.6353 0.2706
0.0000 0.5000 0.0000
0.5000 0.0000 0.0000
0.1745 0.1745 0.3490
0.8255 0.8255 0.6510

---

[8]
K4GeI6 | Alexandria | PBE-GGA | relaxed; magnetization = 0.000 μB per formula unit
1.0
9.8335 -0.0328 -0.0495
0.0491 9.8334 -0.0495
0.0331 0.0328 9.8335
K Ge I
8 2 12
direct
0.3614 0.1386 0.2500
0.8614 0.2500 0.3614
0.2500 0.6386 0.1386
0.2500 0.2500 0.7500
0.7500 0.7500 0.2500
0.7500 0.3614 0.8614
0.1386 0.7500 0.6386
0.6386 0.8614 0.7500
0.5000 0.5000 0.5000
0.0000 0.0000 0.0000
0.7009 0.0535 0.0648
0.0648 0.2991 0.0535
0.5648 0.4465 0.2009
0.9465 0.0648 0.7009
0.5535 0.2009 0.5648
0.2009 0.4352 0.4465
0.7991 0.5648 0.5535
0.4465 0.7991 0.4352
0.0535 0.9352 0.2991
0.4352 0.5535 0.7991
0.9352 0.7009 0.9465
0.2991 0.9465 0.9352

---

[9]
Ho8P3Se3S | Alexandria | PBE-GGA | relaxed; magnetization = 0.000 μB per formula unit
1.0
7.9337 0.0000 0.0000
-3.9668 6.8714 -0.0239
0.0000 -4.5573 6.5836
Ho P Se S
8 3 3 1
direct
0.2575 0.5149 0.2724
0.7425 0.4851 0.7276
0.7537 0.5074 0.2671
0.2463 0.4926 0.7329
0.7537 0.0134 0.2671
0.2463 0.9866 0.7329
0.2597 0.0134 0.2671
0.7403 0.9866 0.7329
0.5000 0.0000 0.5000
0.5000 0.5000 0.5000
0.0000 0.5000 0.5000
0.0000 0.0000 0.0000
0.0000 0.5000 0.0000
0.5000 0.5000 0.0000
0.0000 0.0000 0.5000

---

[10]
Li2YBr | Alexandria | PBE-GGA | relaxed; excess energy over the best structure of this formula in the dataset = 0.92 eV/f.u.; magnetization = 0.004 μB per formula unit
1.0
3.4325 0.0000 0.0000
0.0000 5.1354 0.0000
0.0000 0.0000 5.4857
Br Li Y
1 2 1
direct
0.0000 0.5000 0.5000
0.0000 0.0000 0.0000
0.5000 0.5000 0.0000
0.5000 0.0000 0.5000

---

[11]
Pm5Rh2I2 | Alexandria | PBE-GGA | relaxed; magnetization = 0.000 μB per formula unit
1.0
7.5133 0.0000 2.7273
0.0000 7.9932 0.0000
0.8876 0.0000 9.2675
Pm Rh I
10 4 4
direct
0.0000 0.0000 0.0000
0.5000 0.5000 0.0000
0.4551 0.1549 0.7824
0.7625 0.8451 0.7824
0.2625 0.6549 0.7824
0.9551 0.3451 0.7824
0.5449 0.8451 0.2176
0.2375 0.1549 0.2176
0.7375 0.3451 0.2176
0.0449 0.6549 0.2176
0.1451 0.3589 0.0000
0.8549 0.6411 0.0000
0.3549 0.8589 0.0000
0.6451 0.1411 0.0000
0.2117 0.0000 0.5765
0.7117 0.5000 0.5765
0.7883 0.0000 0.4235
0.2883 0.5000 0.4235

---

[12]
Cs2Zn3Au4 | Alexandria | PBE-GGA | relaxed; formation enthalpy at 0 K = -0.09 eV/atom; magnetization = 0.000 μB per formula unit
1.0
-2.3173 -1.0577 -6.1256
-1.6674 -6.2083 -1.8897
-12.8523 1.3648 1.0340
Cs Zn Au
4 6 8
direct
0.1727 0.5000 0.6545
0.3273 0.5000 0.3455
0.5773 0.0000 0.8455
0.4227 0.0000 0.1545
0.2673 0.0000 0.4655
0.0173 0.5000 0.9655
0.4827 0.5000 0.0345
0.0000 0.0000 0.0000
0.7500 0.5000 0.5000
0.7327 0.0000 0.5345
0.8293 0.3394 0.8578
0.3129 0.6606 0.8578
0.8313 0.3394 0.1422
0.7235 0.8394 0.3578
0.9207 0.1606 0.6422
0.0265 0.6606 0.1422
0.9187 0.1606 0.3578
0.4371 0.8394 0.6422

---

[13]
TmPaRu | Alexandria | PBE-GGA | relaxed; formation enthalpy at 0 K = -0.07 eV/atom; excess energy over the best structure of this formula in the dataset = 0.77 eV/f.u.; magnetization = 0.030 μB per formula unit
1.0
-2.9362 -0.9428 3.5907
-2.3288 -4.1185 0.1340
1.1656 -3.2744 3.2129
Ru Pa Tm
1 1 1
direct
0.2500 0.2500 0.2500
0.5000 0.5000 0.5000
0.0000 0.0000 0.0000

---

[14]
SbH4 | Alexandria | PBE-GGA | relaxed; excess energy over the best structure of this formula in the dataset = 0.00 eV/f.u.; magnetization = 0.000 μB per formula unit
1.0
-1.1053 -2.0545 2.0206
-3.4364 -2.0077 -1.5640
1.8029 -3.8372 -0.5582
Sb H
1 4
direct
0.0000 0.0000 0.0000
0.0892 0.2159 0.6057
0.6949 0.3943 0.2159
0.9108 0.7841 0.3943
0.3051 0.6057 0.7841

---

[15]
SrLuP2 | Alexandria | PBE-GGA | relaxed; formation enthalpy at 0 K = -1.14 eV/atom; magnetization = 0.000 μB per formula unit
1.0
4.0938 0.0000 0.0000
2.0469 3.5454 0.0000
2.0469 1.1818 6.9078
Sr Lu P
1 1 2
direct
0.5000 0.5000 0.5000
0.0000 0.0000 0.0000
0.2618 0.2618 0.2147
0.7382 0.7382 0.7853

---

[16]
La2VPbN | Alexandria | PBE-GGA | relaxed; magnetization = 1.979 μB per formula unit
1.0
5.3791 0.0000 0.0000
0.0000 5.3791 0.0000
0.0000 0.0000 4.0171
Pb N V La
1 1 1 2
direct
0.5000 0.5000 0.5000
0.0000 0.0000 0.0000
0.0000 0.0000 0.5000
0.0000 0.5000 0.0000
0.5000 0.0000 0.0000

---

[17]
ErSn3 | Alexandria | PBE-GGA | relaxed; formation enthalpy at 0 K = -0.39 eV/atom; magnetization = 0.000 μB per formula unit
1.0
4.7783 0.0000 0.0000
0.0000 4.7782 0.0000
0.0000 0.0000 4.5525
Sn Er
3 1
direct
0.0000 0.0000 0.0833
0.0000 0.5000 0.5834
0.5000 0.5000 0.0833
0.5000 0.0000 0.5834

---

[18]
Tl2AgPt | Alexandria | PBE-GGA | relaxed; formation enthalpy at 0 K = 0.14 eV/atom; excess energy over the best structure of this formula in the dataset = 0.29 eV/f.u.; magnetization = 0.000 μB per formula unit
1.0
-3.2747 -1.4256 0.2984
0.0833 -0.8969 -3.3716
2.8853 -7.0542 -2.0372
Tl Ag Pt
2 1 1
direct
0.0000 0.0055 0.9846
0.0000 0.4945 0.5154
0.5000 0.2500 0.2500
0.5000 0.7500 0.7500

---

[19]
Li2CaAs2 | Alexandria | PBE-GGA | relaxed; formation enthalpy at 0 K = -0.59 eV/atom; magnetization = 0.000 μB per formula unit
1.0
-2.1404 4.8098 -5.9472
-7.6209 -0.8145 2.0841
0.2565 2.4648 1.9011
As Ca Li
4 2 4
direct
0.3269 0.8269 0.0000
0.8269 0.6731 0.0000
0.6731 0.1731 0.0000
0.1731 0.3269 0.0000
0.0000 0.0000 0.0000
0.5000 0.5000 0.0000
0.1208 0.6208 0.5000
0.6208 0.8792 0.5000
0.8792 0.3792 0.5000
0.3792 0.1208 0.5000

---

[20]
Mg4CuW | Alexandria | PBE-GGA | relaxed; formation enthalpy at 0 K = 0.80 eV/atom; magnetization = 2.147 μB per formula unit
1.0
0.0000 3.8406 3.8406
3.8406 0.0000 3.8406
3.8406 3.8406 0.0000
Mg Cu W
4 1 1
direct
0.8732 0.3756 0.3756
0.3756 0.3756 0.8732
0.3756 0.8732 0.3756
0.3756 0.3756 0.3756
0.0000 0.0000 0.0000
0.7500 0.7500 0.7500

---

[21]
TiGaCu3 | Alexandria | PBE-GGA | relaxed; formation enthalpy at 0 K = -0.02 eV/atom; excess energy over the best structure of this formula in the dataset = 0.74 eV/f.u.; magnetization = 0.000 μB per formula unit
1.0
2.7155 0.0000 0.0000
0.0000 4.2302 0.0000
0.0000 -2.1151 12.4035
Ti Ga Cu
2 2 6
direct
0.5000 0.8236 0.6471
0.5000 0.1764 0.3529
0.0000 0.6286 0.2571
0.0000 0.3714 0.7429
0.0000 0.0672 0.1343
0.0000 0.9328 0.8657
0.0000 0.2731 0.5463
0.0000 0.7269 0.4537
0.5000 0.4539 0.9077
0.5000 0.5461 0.0923

---

[22]
TiAlSe2Br | Alexandria | PBE-GGA | relaxed; excess energy over the best structure of this formula in the dataset = 0.00 eV/f.u.; magnetization = 0.000 μB per formula unit
1.0
-2.1690 3.9959 -1.9739
-2.9217 0.3829 3.9856
3.5704 3.0846 2.3211
Al Se Br Ti
1 2 1 1
direct
0.5000 0.5000 0.5000
0.0000 0.5000 0.0000
0.5000 0.0000 0.0000
0.0000 0.0000 0.5000
0.0000 0.0000 0.0000

---

[23]
NiAs2Ir | Alexandria | PBE-GGA | relaxed; formation enthalpy at 0 K = 0.03 eV/atom; excess energy over the best structure of this formula in the dataset = 1.04 eV/f.u.; magnetization = 0.000 μB per formula unit
1.0
-6.4527 -3.9017 -1.3705
-4.3489 -5.9410 -2.1286
-5.1631 -5.6119 0.7677
As Ir Ni
2 1 1
direct
0.0048 0.0048 0.0048
0.4952 0.4952 0.4952
0.2500 0.2500 0.2500
0.7500 0.7500 0.7500

---

[24]
KCdTc2 | Alexandria | PBE-GGA | relaxed; formation enthalpy at 0 K = 1.25 eV/atom; magnetization = 0.265 μB per formula unit
1.0
4.4597 0.0000 0.0000
0.0000 4.4597 0.0000
2.2299 2.2299 10.4118
K Tc Cd
2 4 2
direct
0.5000 0.5000 0.0000
0.2500 0.7500 0.5000
0.8007 0.1250 0.2500
0.9493 0.6250 0.2500
0.3750 0.1993 0.7500
0.8750 0.0507 0.7500
0.0000 0.0000 0.0000
0.7500 0.2500 0.5000

---

Let's list calculated total energy in order: -10.082; -5.943; -7.370; -3.175; -4.349; -4.390; -3.184; -2.819; -6.148; -3.295; -5.374; -2.165; -7.815; -2.856; -5.393; -6.874; -4.532; -3.269; -3.615; -3.102; -4.665; -4.492; -5.951; -4.436 eV per atom.